Record 1
An optimized crystal structure of Ac3ZnPb2. Source: Alexandria via LeMat-Bulk, functional GGA-PBE.

Results
Size of the total moment   0.000 μB/atom
SG   C2/c, No. 15
Density of states at the Fermi level   0.719 states/eV per atom
Energy of formation   -335 meV per atom
VASP energy   -0.2821 Ry/atom

Lattice parameters (Å, degrees): 6.9146 6.9712 9.4574 102.39 111.44 90.00
Last column: nearest neighbours and their distance in Å.
Fractional coordinates of all 12 atoms:
Ac 0.3315 0.7500 0.0000  4 Zn 3.34-3.70, 4 Pb 3.46-3.53
Ac 0.0639 0.6141 0.3413  1 Zn 3.37, 5 Pb 3.44-3.73
Zn 0.1518 0.2500 0.0000  6 Ac 3.34-3.70, 2 Pb 3.45
Pb 0.7575 0.0344 0.3123  7 Ac 3.44-3.73, 1 Zn 3.45, 2 Pb 3.76
Ac 0.2775 0.1141 0.3413  1 Zn 3.37, 5 Pb 3.44-3.73
Ac 0.9361 0.3859 0.6587  1 Zn 3.37, 5 Pb 3.44-3.73
Pb 0.2425 0.9656 0.6877  7 Ac 3.44-3.73, 1 Zn 3.45, 2 Pb 3.76
Pb 0.5548 0.5344 0.3123  7 Ac 3.44-3.73, 1 Zn 3.45, 2 Pb 3.76
Ac 0.7225 0.8859 0.6587  1 Zn 3.37, 5 Pb 3.44-3.73
Ac 0.6685 0.2500 0.0000  4 Zn 3.34-3.70, 4 Pb 3.46-3.53
Zn 0.8482 0.7500 0.0000  6 Ac 3.34-3.70, 2 Pb 3.45
Pb 0.4452 0.4656 0.6877  7 Ac 3.44-3.73, 1 Zn 3.45, 2 Pb 3.76

Record 2
An optimized crystal structure of AcZn2Pb. Source: Alexandria via LeMat-Bulk, functional GGA-PBE.

Results
Size of the total moment   0.000 μB/atom
SG   Amm2, No. 38
Density of states at the Fermi level   0.723 states/eV per atom
Energy of formation   -171 meV per atom
VASP energy   -0.2030 Ry/atom

Lattice parameters (Å, degrees): 4.5590 6.0992 4.9854 127.71 90.00 90.00
Last column: nearest neighbours and their distance in Å.
Fractional coordinates of all 4 atoms:
Ac 0.5000 0.8031 0.6061  5 Zn 3.10-3.38, 2 Pb 3.47
Zn 0.5000 0.2313 0.4626  2 Zn 2.51
Pb 0.0000 0.4714 0.9428  5 Zn 2.95-3.21
Zn 0.0000 0.0973 0.1945  2 Zn 2.51

Record 3
An optimized crystal structure of Ac4ZnPb3. Source: Alexandria via LeMat-Bulk, functional GGA-PBE.

Results
Size of the total moment   0.063 μB/atom
SG   Pmm2, No. 25
Density of states at the Fermi level   1.033 states/eV per atom
Energy of formation   -452 meV per atom
VASP energy   -0.2981 Ry/atom

Lattice parameters (Å, degrees): 4.9218 4.7121 12.4741 90.00 90.00 90.00
Last column: nearest neighbours and their distance in Å.
Fractional coordinates of all 8 atoms:
Pb 0.0000 0.5000 0.5910  2 Pb 3.25, 5 Ac 3.46-3.48
Pb 0.0000 0.0000 0.4120  2 Pb 3.25, 5 Ac 3.46-3.49
Ac 0.5000 0.5000 0.3521  1 Zn 3.43, 4 Pb 3.49
Ac 0.0000 0.5000 0.8701  5 Pb 3.47-3.48, 2 Zn 3.57
Pb 0.5000 0.0000 0.9243  2 Zn 3.03
Ac 0.5000 0.0000 0.6385  7 Pb 3.46-3.75
Ac 0.0000 0.0000 0.1349  3 Pb 3.46-3.60, 4 Zn 3.48
Zn 0.5000 0.5000 0.0771  2 Pb 3.03

Record 4
An optimized crystal structure of Ac3Zn3Pb4. Source: Alexandria via LeMat-Bulk, functional GGA-PBE.

Results
Size of the total moment   0.000 μB/atom
SG   I-43d, No. 220
Density of states at the Fermi level   0.494 states/eV per atom
Energy of formation   -415 meV per atom
VASP energy   -0.2582 Ry/atom

Lattice parameters (Å, degrees): 9.1253 9.1253 9.1253 109.47 109.47 109.47
Last column: nearest neighbours and their distance in Å.
Fractional coordinates of all 20 atoms:
Ac 0.1250 0.3750 0.2500  4 Zn 3.23
Ac 0.7500 0.6250 0.3750  4 Zn 3.23
Pb 0.0000 0.0000 0.8337  3 Zn 2.94
Ac 0.8750 0.2500 0.6250  4 Zn 3.23
Zn 0.3750 0.2500 0.1250  4 Pb 2.94, 4 Ac 3.23
Zn 0.2500 0.3750 0.6250  4 Pb 2.94, 4 Ac 3.23
Zn 0.6250 0.8750 0.2500  4 Pb 2.94, 4 Ac 3.23
Zn 0.1250 0.7500 0.3750  4 Pb 2.94, 4 Ac 3.23
Pb 0.1663 0.6663 0.6663  3 Zn 2.94
Pb 0.5000 0.8337 0.5000  3 Zn 2.94
Ac 0.3750 0.1250 0.7500  4 Zn 3.23
Pb 0.5000 0.3337 0.5000  3 Zn 2.94
Zn 0.8750 0.6250 0.7500  4 Pb 2.94, 4 Ac 3.23
Pb 0.6663 0.1663 0.1663  3 Zn 2.94
Pb 0.3337 0.5000 0.0000  3 Zn 2.94
Zn 0.7500 0.1250 0.8750  4 Pb 2.94, 4 Ac 3.23
Ac 0.6250 0.7500 0.8750  4 Zn 3.23
Ac 0.2500 0.8750 0.1250  4 Zn 3.23
Pb 0.8337 0.5000 0.0000  3 Zn 2.94
Pb 0.0000 0.0000 0.3337  3 Zn 2.94

Record 5
An optimized crystal structure of AcZn2Pb. Source: Alexandria via LeMat-Bulk, functional GGA-PBE.

Results
Size of the total moment   0.000 μB/atom
SG   P4/mmm, No. 123
Density of states at the Fermi level   0.675 states/eV per atom
Energy of formation   -172 meV per atom
VASP energy   -0.2031 Ry/atom

Lattice parameters (Å, degrees): 4.6598 4.8161 4.8161 90.00 90.00 90.00
Last column: nearest neighbours and their distance in Å.
Fractional coordinates of all 4 atoms:
Pb 0.5000 0.0000 0.0000  8 Zn 3.35, 4 Ac 3.41
Zn 0.0000 0.0000 0.5000  4 Ac 3.35, 4 Pb 3.35, 4 Zn 3.41
Ac 0.5000 0.5000 0.5000  8 Zn 3.35, 4 Pb 3.41
Zn 0.0000 0.5000 0.0000  4 Ac 3.35, 4 Pb 3.35, 4 Zn 3.41

Record 6
An optimized crystal structure of Ac5ZnPb4. Source: Alexandria via LeMat-Bulk, functional GGA-PBE.

Results
Size of the total moment   0.000 μB/atom
SG   P4/mmm, No. 123
Density of states at the Fermi level   0.950 states/eV per atom
Energy of formation   -425 meV per atom
VASP energy   -0.3006 Ry/atom

Lattice parameters (Å, degrees): 3.9591 3.9591 22.0934 90.00 90.00 90.00
Last column: nearest neighbours and their distance in Å.
Fractional coordinates of all 10 atoms:
Ac 0.5000 0.5000 0.5000  8 Pb 3.63, 4 Ac 3.96
Ac 0.5000 0.5000 0.7079  8 Pb 3.61-3.62, 4 Ac 3.96
Pb 0.0000 0.0000 0.1889  8 Ac 3.59-3.61, 4 Pb 3.96
Pb 0.0000 0.0000 0.6043  8 Ac 3.62-3.63, 4 Pb 3.96
Ac 0.5000 0.5000 0.2921  8 Pb 3.61-3.62, 4 Ac 3.96
Zn 0.0000 0.0000 0.0000  8 Ac 3.40
Ac 0.5000 0.5000 0.0875  4 Zn 3.40, 4 Pb 3.59
Pb 0.0000 0.0000 0.3957  8 Ac 3.62-3.63, 4 Pb 3.96
Ac 0.5000 0.5000 0.9125  4 Zn 3.40, 4 Pb 3.59
Pb 0.0000 0.0000 0.8111  8 Ac 3.59-3.61, 4 Pb 3.96

size of the total moment of number 2 (AcZn2Pb)?
0.000 μB/atom